5
Lattice="5.266 0.000 0.000 0.000 5.671 0.000 -2.633 -2.836 5.936" Properties=species:S:1:pos:R:3 comment="CsTlHg2Se (PBE, relaxed)" e_form_raw_ev_per_atom=-0.384 de_polymorph_mev_per_atom=0.0 n_ef_per_ev_atom=0.135 rho_g_cm3=7.7 sg="No. 44" dft_energy_ev_per_cell=-9.2 volume_a3_per_fu=177 pbc="T T T"
Tl 0.000 2.836 2.284
Hg 0.000 0.000 0.880
Hg 2.633 0.000 2.137
Cs 0.000 0.000 5.101
Se 2.633 2.836 3.988



4
Lattice="0.323 -5.581 -0.854 3.429 0.835 -4.419 2.517 -1.251 -0.058" Properties=species:S:1:pos:R:3 comment="CoReCl2 (PBE, relaxed)" e_form_raw_ev_per_atom=0.858 de_polymorph_mev_per_atom=765.1 n_ef_per_ev_atom=1.415 rho_g_cm3=8.1 sg="No. 12" dft_energy_ev_per_cell=-19.8 volume_a3_per_fu=65 pbc="T T T"
Cl 1.876 -2.373 -2.637
Cl 0.000 0.000 0.000
Re 2.973 -0.208 -2.238
Co 1.420 -3.416 -0.456



6
Lattice="4.160 0.000 0.000 0.000 3.721 0.000 0.000 1.861 9.790" Properties=species:S:1:pos:R:3 comment="SmVBr (PBE, relaxed)" e_form_raw_ev_per_atom=-0.519 n_ef_per_ev_atom=0.654 rho_g_cm3=6.2 sg="No. 63" dft_energy_ev_per_cell=-34.1 volume_a3_per_fu=76 pbc="T T T"
V 1.040 3.721 9.355
V 3.120 1.861 0.435
Sm 3.120 1.861 7.806
Sm 1.040 3.721 1.983
Br 1.040 3.721 6.402
Br 3.120 1.861 3.387



14
Lattice="4.495 0.000 0.000 0.000 9.251 -0.548 0.000 -0.154 14.988" Properties=species:S:1:pos:R:3 comment="YPbI5 (PBE, relaxed)" e_form_raw_ev_per_atom=-1.030 n_ef_per_ev_atom=0.000 rho_g_cm3=5.0 sg="No. 11" dft_energy_ev_per_cell=-50.3 volume_a3_per_fu=311 pbc="T T T"
I 3.372 8.383 9.696
I 3.372 2.922 7.099
I 1.124 3.308 1.886
I 1.124 3.463 10.322
I 1.124 0.715 4.744
I 1.124 6.176 7.341
I 1.124 7.866 0.633
I 3.372 1.231 13.807
I 3.372 5.634 4.118
I 3.372 5.789 12.554
Pb 1.124 8.235 12.438
Pb 3.372 0.863 2.002
Y 1.124 3.744 5.025
Y 3.372 5.354 9.415



3
Lattice="2.916 0.000 0.000 0.000 2.916 0.000 -1.458 -1.458 5.578" Properties=species:S:1:pos:R:3 comment="NbAlPd (PBE, relaxed)" n_ef_per_ev_atom=0.380 rho_g_cm3=7.9 sg="No. 107" dft_energy_ev_per_cell=-20.7 volume_a3_per_fu=47 delta_e_f_ev_per_fu=-1.7 pbc="T T T"
Al 1.458 1.458 1.972
Nb 0.000 0.000 0.049
Pd 0.000 0.000 3.557



7
Lattice="5.061 0.000 0.000 0.000 5.061 0.000 2.531 2.531 7.822" Properties=species:S:1:pos:R:3 comment="KPt4Br2 (PBE, relaxed)" e_form_raw_ev_per_atom=1.476 n_ef_per_ev_atom=1.266 rho_g_cm3=8.1 sg="No. 139" dft_energy_ev_per_cell=-18.3 volume_a3_per_fu=200 pbc="T T T"
Pt 0.000 2.531 0.000
Pt 2.531 2.531 3.923
Pt 5.061 5.061 3.899
Pt 2.531 0.000 0.000
Br 2.531 2.531 1.576
Br 5.061 5.061 6.246
K 0.000 0.000 0.000



8
Lattice="7.103 0.000 0.000 0.000 7.103 0.000 3.551 3.551 5.015" Properties=species:S:1:pos:R:3 comment="BaCd2N (PBE, relaxed)" e_form_raw_ev_per_atom=0.390 n_ef_per_ev_atom=0.612 rho_g_cm3=4.9 sg="No. 122" dft_energy_ev_per_cell=-21.0 volume_a3_per_fu=126 pbc="T T T"
Cd 3.542 5.327 1.254
Cd 8.878 7.112 3.761
Cd 5.327 7.093 3.761
Cd 3.561 1.776 1.254
N 3.551 7.103 2.507
N 3.551 3.551 0.000
Ba 0.000 0.000 0.000
Ba 7.103 3.551 2.507



4
Lattice="5.469 0.000 0.000 0.000 5.464 0.000 0.000 0.000 5.469" Properties=species:S:1:pos:R:3 comment="K3Sb (PBE, relaxed)" e_form_raw_ev_per_atom=-0.242 de_polymorph_mev_per_atom=172.1 n_ef_per_ev_atom=0.621 rho_g_cm3=2.4 sg="No. 115" dft_energy_ev_per_cell=-8.4 volume_a3_per_fu=163 pbc="T T T"
Sb 2.734 0.000 3.190
K 0.000 2.732 3.191
K 2.734 2.732 0.460
K 0.000 0.000 0.450



12
Lattice="-4.173 -0.328 -1.601 -1.610 -6.819 5.594 -0.530 7.996 6.012" Properties=species:S:1:pos:R:3 comment="NdHo3Er2Bi6 (PBE, relaxed)" n_ef_per_ev_atom=0.167 rho_g_cm3=9.7 sg="No. 12" dft_energy_ev_per_cell=-61.0 volume_a3_per_fu=382 delta_e_f_ev_per_fu=-10.1 pbc="T T T"
Bi -5.892 2.587 8.553
Bi -3.896 -1.524 4.196
Bi -2.416 2.373 5.809
Bi -0.420 -1.738 1.452
Bi -3.200 -1.062 8.559
Bi -3.112 1.911 1.446
Ho -4.109 3.938 3.629
Ho -2.203 -3.089 6.376
Ho -2.891 -3.574 1.996
Er -1.413 0.347 3.611
Er -4.899 0.502 6.393
Nd -2.086 -0.164 -0.801



8
Lattice="-2.750 -0.299 1.916 0.704 -2.343 -2.310 9.034 -8.723 11.605" Properties=species:S:1:pos:R:3 comment="NiHgS2 (PBE, relaxed)" e_form_raw_ev_per_atom=-0.177 n_ef_per_ev_atom=0.110 rho_g_cm3=6.4 sg="No. 194" dft_energy_ev_per_cell=-30.1 volume_a3_per_fu=84 pbc="T T T"
Ni 5.221 -6.705 3.493
Ni 0.704 -2.343 -2.310
S 3.537 -5.939 7.104
S 3.452 -5.426 4.108
S 0.171 -2.259 -0.107
S 6.817 -9.106 11.319
Hg 5.177 -7.522 9.211
Hg 1.811 -3.843 2.000



5
Lattice="-2.664 4.341 -0.567 -0.027 -0.680 -5.079 -4.377 -2.638 0.376" Properties=species:S:1:pos:R:3 comment="Er3PbS (PBE, relaxed)" e_form_raw_ev_per_atom=-0.805 de_polymorph_mev_per_atom=222.5 n_ef_per_ev_atom=0.734 rho_g_cm3=9.1 sg="No. 221" dft_energy_ev_per_cell=-25.5 volume_a3_per_fu=135 pbc="T T T"
Pb -3.534 0.511 -2.635
Er -0.013 -0.340 -2.540
Er -2.189 -1.319 0.188
Er -1.332 2.170 -0.284
S 0.000 0.000 0.000



4
Lattice="-0.196 -0.808 2.624 0.522 -2.594 -0.759 8.774 1.444 1.098" Properties=species:S:1:pos:R:3 comment="TlZnRe2 (PBE, relaxed)" de_polymorph_mev_per_atom=626.4 n_ef_per_ev_atom=1.031 rho_g_cm3=15.7 sg="No. 123" dft_energy_ev_per_cell=-24.5 volume_a3_per_fu=68 delta_e_f_ev_per_fu=4.0 pbc="T T T"
Zn 6.744 -0.617 1.756
Tl 2.357 -1.340 1.207
Re 4.611 0.759 0.577
Re 8.550 1.407 1.070



14
Lattice="4.990 0.000 0.247 0.000 5.476 0.000 -1.416 0.000 8.576" Properties=species:S:1:pos:R:3 comment="Ti4AlGe2 (PBE, relaxed)" n_ef_per_ev_atom=0.927 rho_g_cm3=5.1 sg="No. 11" dft_energy_ev_per_cell=-94.1 volume_a3_per_fu=118 delta_e_f_ev_per_fu=-2.5 pbc="T T T"
Ti 1.008 0.008 6.402
Ti 3.604 4.107 7.066
Ti -0.030 1.369 1.756
Ti 1.008 2.730 6.402
Ti 3.540 1.369 5.023
Ti 0.034 4.107 3.800
Ti 2.566 2.746 2.421
Ti 2.566 5.468 2.421
Al 0.002 4.107 1.160
Al 3.572 1.369 7.663
Ge 1.012 1.369 4.107
Ge 1.037 4.107 8.646
Ge 2.537 1.369 0.177
Ge 2.562 4.107 4.716



4
Lattice="4.771 0.000 0.000 2.386 4.132 0.000 2.386 1.377 3.896" Properties=species:S:1:pos:R:3 comment="LaTaW2 (PBE, relaxed)" de_polymorph_mev_per_atom=244.7 n_ef_per_ev_atom=0.720 rho_g_cm3=14.9 sg="No. 216" dft_energy_ev_per_cell=-40.2 volume_a3_per_fu=77 delta_e_f_ev_per_fu=2.5 pbc="T T T"
Ta 7.157 4.132 2.922
La 4.771 2.755 1.948
W 0.000 0.000 0.000
W 2.386 1.377 0.974



6
Lattice="-1.423 -4.346 -0.693 -3.603 -1.661 2.378 -4.017 -0.804 -2.149" Properties=species:S:1:pos:R:3 comment="LiBeNi4 (PBE, relaxed)" n_ef_per_ev_atom=0.878 rho_g_cm3=5.9 sg="No. 216" dft_energy_ev_per_cell=-28.2 volume_a3_per_fu=70 delta_e_f_ev_per_fu=0.5 pbc="T T T"
Be -6.782 -5.108 -0.348
Ni -4.103 -4.724 -0.520
Ni -5.398 -2.957 -1.246
Ni -5.191 -3.384 1.013
Ni -3.393 -2.556 -0.174
Li 0.000 0.000 0.000



5
Lattice="-0.287 3.970 3.987 -1.306 -3.340 3.232 5.416 -0.886 1.273" Properties=species:S:1:pos:R:3 comment="Y2TiTeRh (PBE, relaxed)" e_form_raw_ev_per_atom=0.369 n_ef_per_ev_atom=1.440 rho_g_cm3=4.9 sg="No. 123" dft_energy_ev_per_cell=-29.5 volume_a3_per_fu=153 pbc="T T T"
Y 2.708 -0.443 0.636
Y -0.144 1.985 1.993
Rh -0.653 -1.670 1.616
Te 0.000 0.000 0.000
Ti 1.912 -0.128 4.246



8
Lattice="7.646 0.000 0.000 0.000 7.646 0.000 3.823 3.823 2.671" Properties=species:S:1:pos:R:3 comment="Mg2MnSi (PBE, relaxed)" e_form_raw_ev_per_atom=0.446 n_ef_per_ev_atom=0.518 rho_g_cm3=2.8 sg="No. 122" dft_energy_ev_per_cell=-32.0 volume_a3_per_fu=78 pbc="T T T"
Mg 5.531 1.912 0.668
Mg 5.735 5.939 2.003
Mg 9.558 9.354 2.003
Mg 2.116 5.735 0.668
Si 3.823 7.646 1.335
Si 3.823 3.823 0.000
Mn 7.646 3.823 1.335
Mn 0.000 0.000 0.000



4
Lattice="-2.975 4.475 0.339 -4.680 -2.116 -1.616 3.479 -0.442 4.085" Properties=species:S:1:pos:R:3 comment="SrNiSe2 (PBE, relaxed)" e_form_raw_ev_per_atom=-0.892 de_polymorph_mev_per_atom=111.2 n_ef_per_ev_atom=0.199 rho_g_cm3=5.5 sg="No. 71" dft_energy_ev_per_cell=-18.0 volume_a3_per_fu=91 pbc="T T T"
Sr -2.514 -0.690 0.915
Se -7.115 2.192 -1.188
Se -4.367 1.345 -0.729
Ni -1.661 2.606 1.893



8
Lattice="3.732 0.000 0.000 0.000 3.732 0.000 1.866 1.866 9.038" Properties=species:S:1:pos:R:3 comment="FeRe2Pt (PBE, relaxed)" de_polymorph_mev_per_atom=570.1 n_ef_per_ev_atom=1.130 rho_g_cm3=16.4 sg="No. 122" dft_energy_ev_per_cell=-74.4 volume_a3_per_fu=63 delta_e_f_ev_per_fu=2.2 pbc="T T T"
Re 2.673 0.933 2.259
Re 1.059 2.799 2.259
Re 2.799 2.925 6.778
Re 4.665 4.539 6.778
Pt 3.732 1.866 4.519
Pt 0.000 0.000 0.000
Fe 1.866 3.732 4.519
Fe 1.866 1.866 0.000



12
Lattice="0.761 5.550 6.392 7.270 -0.680 5.375 7.299 13.401 -1.833" Properties=species:S:1:pos:R:3 comment="Cs2K3Hg (PBE, relaxed)" de_polymorph_mev_per_atom=20.6 n_ef_per_ev_atom=0.773 rho_g_cm3=2.2 sg="No. 12" dft_energy_ev_per_cell=-11.3 volume_a3_per_fu=446 delta_e_f_ev_per_fu=-0.3 pbc="T T T"
K 5.560 6.533 7.916
K 6.145 14.331 3.293
K 4.984 3.856 4.658
K 10.348 14.416 5.277
K 9.771 11.739 2.019
K 1.916 4.620 1.266
Cs 8.392 7.288 3.659
Cs 0.000 0.000 0.000
Cs 6.939 10.983 6.275
Cs 4.030 9.476 2.280
Hg 6.236 2.805 8.124
Hg 1.796 2.065 3.644